# 1
8
Lattice="2.5500 1.4722 8.3398 -2.5500 1.4722 8.3398 0.0000 -2.9444 8.3398" Properties=species:S:1:pos:R:3 comment="Li2DyScTl4 (GGA-PBE, relaxed)" dos_ef_per_ev_cell=2.13 e_form_ev_per_fu=-2.254 pbc="T T T"
Li 0.0000 0.0000 6.2666
Li 0.0000 0.0000 18.7527
Dy 0.0000 0.0000 12.5097
Sc 0.0000 0.0000 0.0000
Tl 0.0000 0.0000 3.0421
Tl 0.0000 0.0000 9.3164
Tl 0.0000 0.0000 15.7030
Tl 0.0000 0.0000 21.9772

***

# 2
5
Lattice="-2.5081 2.5081 4.1655 2.5081 -2.5081 4.1655 2.5081 2.5081 -4.1655" Properties=species:S:1:pos:R:3 comment="HgPt2Se2 (GGA-PBE, relaxed)" dos_ef_per_ev_cell=2.31 formation_energy_uncorrected_ev_per_atom=0.008 pbc="T T T"
Hg 0.0000 0.0000 0.0000
Pt 0.0000 0.0000 2.7462
Pt 0.0000 0.0000 5.5848
Se 2.5081 0.0000 2.0828
Se 0.0000 2.5081 2.0828

***

# 3
14
Lattice="2.8414 1.6405 4.6623 -2.8414 1.6405 4.6623 0.0000 -3.2810 4.6623" Properties=species:S:1:pos:R:3 comment="NdH8PdRh4 (GGA-PBE, relaxed)" dos_ef_per_ev_cell=3.65 e_tot_ry_per_atom=-0.363 pbc="T T T"
Nd 0.0000 0.0000 0.0000
H 0.0000 -1.7963 7.2214
H -1.5557 0.8982 7.2214
H 0.0000 0.0000 5.3608
H -1.0198 -0.5888 10.0835
H 0.0000 0.0000 11.7469
H 1.0198 -0.5888 10.0835
H 0.0000 1.1776 10.0835
H 1.5557 0.8982 7.2214
Pd 0.0000 0.0000 8.6286
Rh -1.3992 -0.8078 6.3786
Rh 0.0000 0.0000 3.5616
Rh 1.3992 -0.8078 6.3786
Rh 0.0000 1.6156 6.3786

***

# 4
8
Lattice="-2.6982 2.6982 5.4499 2.6982 -2.6982 5.4499 2.6982 2.6982 -5.4499" Properties=species:S:1:pos:R:3 comment="CoOsSe2 (GGA-PBE, relaxed)" dos_ef_per_ev_cell=6.91 de_polymorph_mev_per_atom=322 formation_energy_uncorrected_ev_per_atom=0.269 pbc="T T T"
Co 0.0000 0.0000 0.0000
Co 0.0000 2.6982 2.7249
Os 2.6982 0.0000 2.7249
Os 0.0000 0.0000 5.4499
Se 4.0473 1.2764 -1.3625
Se 1.2764 1.3491 1.3625
Se -1.3491 1.4218 4.0874
Se 1.4218 1.3491 6.8123

***

no.,total magnetization (μB/cell)
1,0.00
2,0.00
3,0.00
4,2.35